# 1
A geometry-optimized SrTa2O6 structure. Source: Alexandria, functional GGA-PBEsol.

Computed properties:
The uncorrected formation energy is -3.0418 eV per atom. The spin magnetization is 0.00 μB/atom.

Cell and atoms, written as CIF:
```
data_SrTa2O6
_chemical_formula_sum 'Sr4 Ta8 O24'
_cell_length_a 11.046
_cell_length_b 7.632
_cell_length_c 5.596
_cell_angle_alpha 90.00
_cell_angle_beta 90.00
_cell_angle_gamma 90.00
_symmetry_space_group_name_H-M 'P n m a'
_symmetry_Int_Tables_number 62
_symmetry_space_group_name_Hall '-P 2ac 2n'
loop_
_atom_site_label
_atom_site_fract_x
_atom_site_fract_y
_atom_site_fract_z
_atom_site_occupancy
Sr1 0.041 0.250 0.040 1
Ta1 0.142 0.504 0.538 1
O1 0.023 0.534 0.280 1
O2 0.129 0.750 0.641 1
O3 0.146 0.250 0.467 1
O4 0.214 0.051 0.860 1
```



# 2
A geometry-optimized Sr3Ta2O8 structure. Source: Alexandria, functional GGA-PBEsol.

Computed properties:
The uncorrected formation energy is -3.0078 eV per atom. The spin magnetization is 0.00 μB/atom.

Cell and atoms, written as CIF:
```
data_Sr3Ta2O8
_chemical_formula_sum 'Sr12 Ta8 O32'
_cell_length_a 9.832
_cell_length_b 9.056
_cell_length_c 9.570
_cell_angle_alpha 90.00
_cell_angle_beta 112.63
_cell_angle_gamma 90.00
_symmetry_space_group_name_H-M 'C 1 2/c 1'
_symmetry_Int_Tables_number 15
_symmetry_space_group_name_Hall '-C 2yc'
loop_
_atom_site_label
_atom_site_fract_x
_atom_site_fract_y
_atom_site_fract_z
_atom_site_occupancy
Sr1 0.000 0.239 0.250 1
Sr2 0.184 0.054 0.002 1
Ta1 0.067 0.357 0.622 1
O1 0.049 0.450 0.414 1
O2 0.055 0.176 0.520 1
O3 0.120 0.290 0.846 1
O4 0.229 0.088 0.296 1
```



# 3
A geometry-optimized Sr2Ta2O7 structure. Source: Alexandria, functional GGA-PBEsol.

Computed properties:
The uncorrected formation energy is -3.0812 eV per atom. The spin magnetization is 0.00 μB/atom.

Cell and atoms, written as CIF:
```
data_Sr2Ta2O7
_chemical_formula_sum 'Sr8 Ta8 O28'
_cell_length_a 3.952
_cell_length_b 27.305
_cell_length_c 5.685
_cell_angle_alpha 90.00
_cell_angle_beta 90.00
_cell_angle_gamma 90.00
_symmetry_space_group_name_H-M 'C m c m'
_symmetry_Int_Tables_number 63
_symmetry_space_group_name_Hall '-C 2c 2'
loop_
_atom_site_label
_atom_site_fract_x
_atom_site_fract_y
_atom_site_fract_z
_atom_site_occupancy
Sr1 0.000 0.054 0.250 1
Sr2 0.000 0.215 0.750 1
Ta1 0.000 0.341 0.750 1
Ta2 0.000 0.445 0.250 1
O1 0.000 0.047 0.750 1
O2 0.000 0.149 0.250 1
O3 0.000 0.294 0.510 1
O4 0.000 0.401 0.509 1
O5 0.000 0.500 0.000 1
```



# 4
A geometry-optimized SrTa4O11 structure. Source: Alexandria, functional GGA-PBEsol.

Computed properties:
The uncorrected formation energy is -2.9785 eV per atom. The spin magnetization is 0.00 μB/atom.

Cell and atoms, written as CIF:
```
data_SrTa4O11
_chemical_formula_sum 'Sr2 Ta8 O22'
_cell_length_a 6.2469
_cell_length_b 6.2469
_cell_length_c 12.3828
_cell_angle_alpha 90.00
_cell_angle_beta 90.00
_cell_angle_gamma 120.00
_symmetry_space_group_name_H-M 'P 63 2 2'
_symmetry_Int_Tables_number 182
_symmetry_space_group_name_Hall 'P 6c 2c'
loop_
_atom_site_label
_atom_site_fract_x
_atom_site_fract_y
_atom_site_fract_z
_atom_site_occupancy
Sr1 0.3333 0.6667 0.2500 1
Ta1 0.0000 0.3594 0.5000 1
Ta2 0.3333 0.6667 0.7500 1
O1 0.0000 0.2470 0.0000 1
O2 0.0618 0.4341 0.6543 1
O3 0.3333 0.6667 0.0350 1
```



# 5
A geometry-optimized Sr2YTaO6 structure. Source: Alexandria, functional GGA-PBEsol.

Computed properties:
The uncorrected formation energy is -3.2275 eV per atom. The spin magnetization is 0.00 μB/atom.

Cell and atoms, written as CIF:
```
data_Sr2YTaO6
_chemical_formula_sum 'Sr4 Y2 Ta2 O12'
_cell_length_a 5.777
_cell_length_b 5.868
_cell_length_c 10.023
_cell_angle_alpha 90.00
_cell_angle_beta 124.99
_cell_angle_gamma 90.00
_symmetry_space_group_name_H-M 'P 1 21/c 1'
_symmetry_Int_Tables_number 14
_symmetry_space_group_name_Hall '-P 2ybc'
loop_
_atom_site_label
_atom_site_fract_x
_atom_site_fract_y
_atom_site_fract_z
_atom_site_occupancy
Sr1 0.241 0.038 0.251 1
Y1 0.500 0.000 0.000 1
Ta1 0.000 0.000 0.500 1
O1 0.148 0.225 0.954 1
O2 0.233 0.697 0.958 1
O3 0.318 0.025 0.735 1
```



# 6
A geometry-optimized Sr2YTaO6 structure. Source: Alexandria, functional GGA-PBEsol.

Computed properties:
The uncorrected formation energy is -3.2109 eV per atom. The spin magnetization is 0.00 μB/atom.

Cell and atoms, written as CIF:
```
data_Sr2YTaO6
_chemical_formula_sum 'Sr4 Y2 Ta2 O12'
_cell_length_a 5.768
_cell_length_b 5.768
_cell_length_c 8.386
_cell_angle_alpha 90.00
_cell_angle_beta 90.00
_cell_angle_gamma 90.00
_symmetry_space_group_name_H-M 'I 4/m'
_symmetry_Int_Tables_number 87
_symmetry_space_group_name_Hall '-I 4'
loop_
_atom_site_label
_atom_site_fract_x
_atom_site_fract_y
_atom_site_fract_z
_atom_site_occupancy
Sr1 0.000 0.500 0.250 1
Y1 0.000 0.000 0.000 1
Ta1 0.000 0.000 0.500 1
O1 0.000 0.000 0.262 1
O2 0.171 0.700 0.500 1
```



# 7
A geometry-optimized SrTb2O4 structure. Source: Alexandria, functional GGA-PBEsol.

Computed properties:
The uncorrected formation energy is -3.3722 eV per atom. The spin magnetization is 0.00 μB/atom.

Cell and atoms, written as CIF:
```
data_SrTb2O4
_chemical_formula_sum 'Sr4 Tb8 O16'
_cell_length_a 9.988
_cell_length_b 3.418
_cell_length_c 11.886
_cell_angle_alpha 90.00
_cell_angle_beta 90.00
_cell_angle_gamma 90.00
_symmetry_space_group_name_H-M 'P n m a'
_symmetry_Int_Tables_number 62
_symmetry_space_group_name_Hall '-P 2ac 2n'
loop_
_atom_site_label
_atom_site_fract_x
_atom_site_fract_y
_atom_site_fract_z
_atom_site_occupancy
Sr1 0.249 0.250 0.149 1
Tb1 0.075 0.250 0.888 1
Tb2 0.082 0.250 0.389 1
O1 0.011 0.750 0.783 1
O2 0.072 0.250 0.579 1
O3 0.129 0.750 0.018 1
O4 0.214 0.750 0.322 1
```



# 8
A geometry-optimized Sr2TcO4 structure. Source: Alexandria, functional GGA-PBEsol.

Computed properties:
The uncorrected formation energy is -2.3746 eV per atom. The spin magnetization is 0.00 μB/atom.

Cell and atoms, written as CIF:
```
data_Sr2TcO4
_chemical_formula_sum 'Sr4 Tc2 O8'
_cell_length_a 3.823
_cell_length_b 3.823
_cell_length_c 12.858
_cell_angle_alpha 90.00
_cell_angle_beta 90.00
_cell_angle_gamma 90.00
_symmetry_space_group_name_H-M 'I 4/m m m'
_symmetry_Int_Tables_number 139
_symmetry_space_group_name_Hall '-I 4 2'
loop_
_atom_site_label
_atom_site_fract_x
_atom_site_fract_y
_atom_site_fract_z
_atom_site_occupancy
Sr1 0.000 0.000 0.149 1
Tc1 0.000 0.000 0.500 1
O1 0.000 0.000 0.337 1
O2 0.000 0.500 0.000 1
```



# 9
A geometry-optimized SrTeO3 structure. Source: Alexandria, functional GGA-PBEsol.

Computed properties:
The uncorrected formation energy is -1.9651 eV per atom. The spin magnetization is 0.00 μB/atom.

Cell and atoms, written as CIF:
```
data_SrTeO3
_chemical_formula_sum 'Sr4 Te4 O12'
_cell_length_a 6.732
_cell_length_b 7.191
_cell_length_c 8.509
_cell_angle_alpha 90.00
_cell_angle_beta 125.40
_cell_angle_gamma 90.00
_symmetry_space_group_name_H-M 'P 1 21/c 1'
_symmetry_Int_Tables_number 14
_symmetry_space_group_name_Hall '-P 2ybc'
loop_
_atom_site_label
_atom_site_fract_x
_atom_site_fract_y
_atom_site_fract_z
_atom_site_occupancy
Sr1 0.138 0.127 0.369 1
Te1 0.377 0.672 0.598 1
O1 0.084 0.689 0.975 1
O2 0.230 0.031 0.928 1
O3 0.404 0.585 0.820 1
```



# 10
A geometry-optimized Sr3TeO6 structure. Source: Alexandria, functional GGA-PBEsol.

Computed properties:
The uncorrected formation energy is -2.3865 eV per atom. The spin magnetization is 0.00 μB/atom.

Cell and atoms, written as CIF:
```
data_Sr3TeO6
_chemical_formula_sum 'Sr24 Te8 O48'
_cell_length_a 11.699
_cell_length_b 11.734
_cell_length_c 11.749
_cell_angle_alpha 119.77
_cell_angle_beta 119.67
_cell_angle_gamma 90.32
_symmetry_space_group_name_H-M 'P -1'
_symmetry_Int_Tables_number 2
_symmetry_space_group_name_Hall '-P 1'
loop_
_atom_site_label
_atom_site_fract_x
_atom_site_fract_y
_atom_site_fract_z
_atom_site_occupancy
Sr1 0.078 0.370 0.241 1
Sr2 0.115 0.370 0.726 1
Sr3 0.129 0.925 0.286 1
Sr4 0.138 0.868 0.724 1
Sr5 0.213 0.269 0.997 1
Sr6 0.275 0.734 0.466 1
Sr7 0.277 0.780 0.058 1
Sr8 0.278 0.281 0.498 1
Sr9 0.351 0.118 0.740 1
Sr10 0.361 0.128 0.204 1
Sr11 0.376 0.650 0.767 1
Sr12 0.384 0.608 0.223 1
Te1 0.000 0.000 0.000 1
Te2 0.000 0.000 0.500 1
Te3 0.000 0.500 0.000 1
Te4 0.000 0.500 0.500 1
Te5 0.500 0.000 0.000 1
Te6 0.500 0.000 0.500 1
Te7 0.500 0.500 0.000 1
Te8 0.500 0.500 0.500 1
O1 0.008 0.681 0.153 1
O2 0.080 0.354 0.454 1
O3 0.090 0.868 0.025 1
O4 0.104 0.040 0.929 1
O5 0.112 0.609 0.483 1
O6 0.115 0.132 0.511 1
O7 0.115 0.577 0.962 1
O8 0.116 0.100 0.727 1
O9 0.126 0.890 0.496 1
O10 0.140 0.599 0.731 1
O11 0.150 0.148 0.218 1
O12 0.167 0.504 0.172 1
O13 0.326 0.489 0.482 1
O14 0.334 0.830 0.335 1
O15 0.337 0.395 0.957 1
O16 0.353 0.898 0.980 1
O17 0.377 0.108 0.523 1
O18 0.392 0.877 0.765 1
O19 0.395 0.444 0.781 1
O20 0.400 0.131 0.990 1
O21 0.408 0.379 0.268 1
O22 0.444 0.663 0.063 1
O23 0.481 0.009 0.331 1
O24 0.499 0.667 0.497 1
```



# 11
A geometry-optimized Sr3TeO6 structure. Source: Alexandria, functional GGA-PBEsol.

Computed properties:
The uncorrected formation energy is -2.3819 eV per atom. The spin magnetization is 0.00 μB/atom.

Cell and atoms, written as CIF:
```
data_Sr3TeO6
_chemical_formula_sum 'Sr6 Te2 O12'
_cell_length_a 5.847
_cell_length_b 6.050
_cell_length_c 10.194
_cell_angle_alpha 90.00
_cell_angle_beta 124.84
_cell_angle_gamma 90.00
_symmetry_space_group_name_H-M 'P 1 21/c 1'
_symmetry_Int_Tables_number 14
_symmetry_space_group_name_Hall '-P 2ybc'
loop_
_atom_site_label
_atom_site_fract_x
_atom_site_fract_y
_atom_site_fract_z
_atom_site_occupancy
Sr1 0.000 0.000 0.000 1
Sr2 0.261 0.048 0.747 1
Te1 0.500 0.000 0.500 1
O1 0.181 0.045 0.281 1
O2 0.276 0.679 0.044 1
O3 0.391 0.236 0.063 1
```